# 1
Density functional theory data (PBE) for an optimized crystal structure of PmZnGeIr.

crystal system: cubic
ΔH_f (0 K): -0.407 eV per atom
E_tot: -5.283 eV per atom
symmetry: F-43m

extended XYZ file:
```
4
Lattice="0.000 3.308 3.308 3.308 0.000 3.308 3.308 3.308 0.000" Properties=species:S:1:pos:R:3 pbc="T T T"
Pm 0.000 0.000 0.000
Zn 4.962 4.962 4.962
Ge 1.654 1.654 1.654
Ir 3.308 3.308 3.308
```



# 2
Density functional theory data (PBE) for an optimized crystal structure of Pm2ZnGe3Ir4.

crystal system: tetragonal
ΔH_f (0 K): -0.721 eV per atom
E_tot: -6.728 eV per atom
symmetry: P-4m2

extended XYZ file:
```
10
Lattice="4.221 0.000 0.000 0.000 4.221 0.000 0.000 0.000 10.375" Properties=species:S:1:pos:R:3 pbc="T T T"
Pm 0.000 2.110 2.582
Pm 2.110 0.000 7.793
Zn 2.110 2.110 0.000
Ge 0.000 0.000 0.000
Ge 0.000 2.110 6.539
Ge 2.110 0.000 3.835
Ir 0.000 0.000 5.187
Ir 0.000 2.110 8.981
Ir 2.110 0.000 1.394
Ir 2.110 2.110 5.187
```



# 3
Density functional theory data (PBE) for an optimized crystal structure of PmZnGe2Ir.

crystal system: tetragonal
ΔH_f (0 K): -0.575 eV per atom
E_tot: -5.399 eV per atom
symmetry: I-4m2

extended XYZ file:
```
5
Lattice="-2.061 2.061 5.451 2.061 -2.061 5.451 2.061 2.061 -5.451" Properties=species:S:1:pos:R:3 pbc="T T T"
Pm 0.000 0.000 0.000
Zn 2.061 0.000 2.725
Ge 0.000 0.000 4.186
Ge 0.000 0.000 6.715
Ir 0.000 2.061 2.725
```



Question: Which value of E_tot does entry 2 give?
Answer: -6.728 eV per atom



Question: Which of these has the highest ΔH_f (0 K)?
Answer: PmZnGeIr



Please write out number 1 again, unchanged.
Density functional theory data (PBE) for an optimized crystal structure of PmZnGeIr.

crystal system: cubic
ΔH_f (0 K): -0.407 eV per atom
E_tot: -5.283 eV per atom
symmetry: F-43m

extended XYZ file:
```
4
Lattice="0.000 3.308 3.308 3.308 0.000 3.308 3.308 3.308 0.000" Properties=species:S:1:pos:R:3 pbc="T T T"
Pm 0.000 0.000 0.000
Zn 4.962 4.962 4.962
Ge 1.654 1.654 1.654
Ir 3.308 3.308 3.308
```